[1]
{
  "formula": "Th2AlFe9",
  "functional": "GGA-PBE",
  "state": "relaxed",
  "lattice": [[5.002, 0.000, 0.000], [2.501, 4.332, 0.000], [2.501, 1.444, 8.284]],
  "species": ["Th", "Th", "Al", "Fe", "Fe", "Fe", "Fe", "Fe", "Fe", "Fe", "Fe", "Fe"],
  "fractional_positions": [[0.862, 0.862, 0.414], [0.138, 0.138, 0.586], [0.000, 0.000, 0.000], [0.667, 0.667, 0.998], [0.333, 0.333, 0.002], [0.500, 0.500, 0.500], [0.422, 0.422, 0.239], [0.918, 0.422, 0.239], [0.422, 0.918, 0.239], [0.578, 0.578, 0.761], [0.578, 0.082, 0.761], [0.082, 0.578, 0.761]],
  "space_group": "R-3m",
  "e_form_ev_per_atom": 0.057
}



[2]
{
  "formula": "SiHgSb2",
  "functional": "GGA-PBE",
  "state": "relaxed",
  "lattice": [[4.510, 0.000, 0.000], [0.000, 5.249, 0.000], [0.000, 0.000, 4.111]],
  "species": ["Hg", "Sb", "Sb", "Si"],
  "fractional_positions": [[0.000, 0.500, 0.500], [0.000, 0.000, 0.000], [0.500, 0.500, 0.000], [0.500, 0.000, 0.500]],
  "space_group": "Pmmm",
  "formation_energy_uncorrected_mev_per_atom": 453
}



[3]
{
  "formula": "BaH2IrN",
  "functional": "GGA-PBE",
  "state": "relaxed",
  "lattice": [[4.112, 0.000, 0.000], [0.000, 4.112, 0.000], [0.000, 0.000, 3.847]],
  "species": ["H", "H", "Ir", "Ba", "N"],
  "fractional_positions": [[0.000, 0.500, 0.000], [0.500, 0.000, 0.000], [0.000, 0.000, 0.000], [0.500, 0.500, 0.500], [0.000, 0.000, 0.500]],
  "space_group": "P4/mmm"
}



[4]
{
  "formula": "YAl4Ag",
  "functional": "GGA-PBE",
  "state": "relaxed",
  "lattice": [[5.244, -0.007, -0.019], [0.007, 4.614, -0.002], [-2.610, -2.297, 9.552]],
  "species": ["Y", "Y", "Al", "Al", "Al", "Al", "Al", "Al", "Al", "Al", "Ag", "Ag"],
  "fractional_positions": [[0.765, 0.750, 0.001], [0.235, 0.250, 0.999], [0.579, 0.147, 0.793], [0.783, 0.354, 0.208], [0.421, 0.853, 0.207], [0.217, 0.646, 0.792], [0.012, 0.079, 0.657], [0.349, 0.420, 0.341], [0.988, 0.921, 0.343], [0.651, 0.580, 0.659], [0.500, 0.000, 0.500], [0.000, 0.500, 0.500]],
  "space_group": "C2/m",
  "e_form_ev_per_atom": -0.153,
  "e_above_lowest_polymorph_ev_per_atom": 0.000
}



[5]
{
  "formula": "NbGaPd14",
  "functional": "GGA-PBE",
  "state": "relaxed",
  "lattice": [[5.646, -0.012, 0.000], [0.012, 5.646, 0.000], [0.000, 0.000, 7.732]],
  "species": ["Nb", "Ga", "Pd", "Pd", "Pd", "Pd", "Pd", "Pd", "Pd", "Pd", "Pd", "Pd", "Pd", "Pd", "Pd", "Pd"],
  "fractional_positions": [[0.875, 0.875, 0.500], [0.375, 0.375, 0.500], [0.875, 0.875, 0.000], [0.375, 0.375, 0.000], [0.875, 0.375, 0.500], [0.875, 0.375, 0.000], [0.375, 0.875, 0.500], [0.375, 0.875, 0.000], [0.625, 0.125, 0.257], [0.625, 0.125, 0.743], [0.125, 0.625, 0.257], [0.125, 0.625, 0.743], [0.625, 0.625, 0.257], [0.625, 0.625, 0.743], [0.125, 0.125, 0.257], [0.125, 0.125, 0.743]],
  "space_group": "P4/mmm",
  "e_form_ev_per_atom": -0.237
}



[6]
{
  "formula": "Bi3IrSe",
  "functional": "GGA-PBE",
  "state": "relaxed",
  "lattice": [[7.188, 0.000, 0.000], [0.000, 9.343, -4.418], [0.000, -1.084, 9.434]],
  "species": ["Bi", "Bi", "Bi", "Bi", "Bi", "Bi", "Bi", "Bi", "Bi", "Bi", "Bi", "Bi", "Ir", "Ir", "Ir", "Ir", "Se", "Se", "Se", "Se"],
  "fractional_positions": [[0.929, 0.370, 0.294], [0.071, 0.630, 0.706], [0.429, 0.130, 0.206], [0.571, 0.870, 0.794], [0.452, 0.524, 0.338], [0.548, 0.476, 0.662], [0.952, 0.976, 0.162], [0.048, 0.024, 0.838], [0.892, 0.819, 0.451], [0.108, 0.181, 0.549], [0.392, 0.681, 0.049], [0.608, 0.319, 0.951], [0.761, 0.627, 0.543], [0.239, 0.373, 0.457], [0.261, 0.873, 0.957], [0.739, 0.127, 0.043], [0.217, 0.304, 0.915], [0.783, 0.696, 0.085], [0.717, 0.196, 0.585], [0.283, 0.804, 0.415]],
  "space_group": "P2_1/c",
  "e_above_lowest_polymorph_ev_per_atom": 0.000,
  "formation_energy_uncorrected_mev_per_atom": -23
}



[7]
{
  "formula": "AgPdN",
  "functional": "GGA-PBE",
  "state": "relaxed",
  "lattice": [[-0.639, 1.862, -2.219], [-1.552, -3.969, -2.790], [-4.620, 0.673, 3.656]],
  "species": ["N", "N", "Ag", "Ag", "Pd", "Pd"],
  "fractional_positions": [[0.835, 0.072, 0.211], [0.165, 0.928, 0.789], [0.908, 0.719, 0.401], [0.092, 0.281, 0.599], [0.712, 0.714, 0.901], [0.288, 0.286, 0.099]],
  "space_group": "P-1",
  "e_above_lowest_polymorph_ev_per_atom": 0.573,
  "formation_energy_uncorrected_mev_per_atom": 836
}



[8]
{
  "formula": "LaMg4Cu",
  "functional": "GGA-PBE",
  "state": "relaxed",
  "lattice": [[10.482, 0.000, 0.000], [-5.241, 9.077, 0.000], [0.000, 0.000, 4.424]],
  "species": ["Cu", "Cu", "Cu", "La", "La", "La", "Mg", "Mg", "Mg", "Mg", "Mg", "Mg", "Mg", "Mg", "Mg", "Mg", "Mg", "Mg"],
  "fractional_positions": [[0.667, 0.333, 0.000], [0.333, 0.667, 0.000], [0.000, 0.000, 0.000], [0.000, 0.592, 0.000], [0.408, 0.408, 0.000], [0.592, 0.000, 0.000], [0.480, 0.185, 0.500], [0.815, 0.295, 0.500], [0.705, 0.520, 0.500], [0.295, 0.815, 0.500], [0.520, 0.705, 0.500], [0.185, 0.480, 0.500], [0.000, 0.254, 0.000], [0.746, 0.746, 0.000], [0.254, 0.000, 0.000], [0.000, 0.834, 0.500], [0.166, 0.166, 0.500], [0.834, 0.000, 0.500]],
  "space_group": "P-62m",
  "e_form_ev_per_atom": -0.144,
  "e_above_lowest_polymorph_ev_per_atom": 0.000
}



[9]
{
  "formula": "Cs2ZrBr4Cl2",
  "functional": "GGA-PBE",
  "state": "relaxed",
  "lattice": [[-6.618, 0.187, -0.480], [0.922, -5.375, -5.512], [0.326, -7.518, 1.869]],
  "species": ["Cs", "Cs", "Zr", "Br", "Br", "Br", "Br", "Cl", "Cl"],
  "fractional_positions": [[0.265, 0.661, 0.661], [0.735, 0.339, 0.339], [0.500, 0.000, 0.000], [0.261, 0.667, 0.157], [0.739, 0.843, 0.333], [0.739, 0.333, 0.843], [0.261, 0.157, 0.667], [0.303, 0.147, 0.147], [0.697, 0.853, 0.853]],
  "space_group": "C2/m",
  "formation_energy_uncorrected_mev_per_atom": -1753
}



[10]
{
  "formula": "CeSc2Ga6",
  "functional": "GGA-PBE",
  "state": "relaxed",
  "lattice": [[-2.066, -0.611, 2.586], [-4.026, -4.871, -4.368], [5.941, -2.565, 4.140]],
  "species": ["Ce", "Sc", "Sc", "Ga", "Ga", "Ga", "Ga", "Ga", "Ga"],
  "fractional_positions": [[0.000, 0.000, 0.000], [0.000, 0.333, 0.667], [0.000, 0.667, 0.333], [0.500, 0.339, 0.339], [0.500, 0.661, 0.661], [0.500, 0.000, 0.661], [0.500, 0.661, 0.000], [0.500, 0.339, 0.000], [0.500, 0.000, 0.339]],
  "space_group": "P6/mmm",
  "e_form_ev_per_atom": -0.527,
  "e_above_lowest_polymorph_ev_per_atom": 0.000
}



[11]
{
  "formula": "Nb3SbO",
  "functional": "GGA-PBE",
  "state": "relaxed",
  "lattice": [[-0.226, -5.016, -0.724], [4.068, -0.611, 2.968], [-3.022, -0.449, 4.050]],
  "species": ["Sb", "Nb", "Nb", "Nb", "O"],
  "fractional_positions": [[0.000, 0.000, 0.000], [0.000, 0.500, 0.000], [0.000, 0.000, 0.500], [0.500, 0.000, 0.000], [0.500, 0.500, 0.500]],
  "space_group": "Pm-3m",
  "e_above_lowest_polymorph_ev_per_atom": 2.809,
  "formation_energy_uncorrected_mev_per_atom": 2079
}



[12]
{
  "formula": "Al2CdO",
  "functional": "GGA-PBE",
  "state": "relaxed",
  "lattice": [[-1.662, 0.719, 4.313], [-2.728, -0.846, -0.910], [2.283, -8.816, 1.352]],
  "species": ["Al", "Al", "Al", "Al", "Cd", "Cd", "O", "O"],
  "fractional_positions": [[0.919, 0.250, 0.681], [0.081, 0.750, 0.319], [0.270, 0.250, 0.043], [0.730, 0.750, 0.957], [0.593, 0.250, 0.360], [0.407, 0.750, 0.640], [0.948, 0.250, 0.891], [0.052, 0.750, 0.109]],
  "space_group": "P2_1/m",
  "e_above_lowest_polymorph_ev_per_atom": 0.000,
  "formation_energy_uncorrected_mev_per_atom": -1001
}



Number 1: calculated total energy -94.1 eV for the cell shown. Number 2: calculated total energy -12.2 eV for the cell shown. Number 3: calculated total energy -27.5 eV for the cell shown. Number 4: calculated total energy -50.4 eV for the cell shown. Number 5: calculated total energy -89.6 eV for the cell shown. Number 6: calculated total energy -96.4 eV for the cell shown. Number 7: calculated total energy -27.7 eV for the cell shown. Number 8: calculated total energy -48.8 eV for the cell shown. Number 9: calculated total energy -36.4 eV for the cell shown. Number 10: calculated total energy -41.5 eV for the cell shown. Number 11: calculated total energy -28.9 eV for the cell shown. Number 12: calculated total energy -34.7 eV for the cell shown.